Model w:
CaHg4Pb after structural relaxation, computed with PBE-GGA.

Lattice parameters (Å, degrees): 3.908 3.908 10.431 89.95 89.95 90.00
Fractional positions:
Hg (0.000, 0.000, 0.680)
Ca (0.000, 0.000, 0.000)
Hg (0.000, 0.000, 0.320)
Pb (0.500, 0.500, 0.500)
Hg (0.500, 0.500, 0.170)
Hg (0.500, 0.500, 0.830)

Values from the calculation:
- Space group: C2/m (12)
- Theoretical density: 10.9 Mg/m³

Model x:
CaHg4Pb after structural relaxation, computed with PBE-GGA.

Lattice parameters (Å, degrees): 6.108 6.108 6.108 60.00 60.00 60.00
Fractional positions:
Hg (0.375, 0.875, 0.375)
Hg (0.875, 0.375, 0.375)
Pb (0.750, 0.750, 0.750)
Hg (0.375, 0.375, 0.875)
Hg (0.375, 0.375, 0.375)
Ca (0.000, 0.000, 0.000)

Values from the calculation:
- Space group: F-43m (216)
- Theoretical density: 10.8 Mg/m³

Model y:
CaHg4Pb after structural relaxation, computed with PBE-GGA.

Lattice parameters (Å, degrees): 7.945 6.725 7.824 110.09 115.77 99.77
Fractional positions:
Ca (0.305, 0.055, 0.111)
Pb (0.413, 0.663, 0.326)
Pb (0.587, 0.337, 0.674)
Hg (0.332, 0.585, 0.846)
Hg (0.668, 0.415, 0.154)
Hg (0.014, 0.261, 0.846)
Hg (0.899, 0.688, 0.650)
Hg (0.251, 0.961, 0.650)
Hg (0.749, 0.039, 0.350)
Hg (0.986, 0.739, 0.154)
Hg (0.101, 0.312, 0.350)
Ca (0.695, 0.945, 0.889)

Values from the calculation:
- Space group: C2/c (15)
- Theoretical density: 10.6 Mg/m³

Relative calculated energies, zero for the most stable structure, unit eV/atom: model w 0.000; model x 0.056; model y 0.006.

Model w:
CaHg6Pb2 after structural relaxation, computed with PBE-GGA.

Lattice parameters (Å, degrees): 6.217 9.071 6.221 136.81 92.63 90.00
Fractional positions:
Hg (0.165, 0.833, 0.332)
Pb (0.666, 0.661, 0.323)
Hg (0.500, 0.165, 0.000)
Hg (0.500, 0.835, 0.000)
Hg (0.835, 0.501, 0.668)
Hg (0.835, 0.167, 0.668)
Hg (0.165, 0.499, 0.332)
Pb (0.334, 0.339, 0.677)
Ca (0.000, 0.000, 0.000)

Values from the calculation:
- Space group: C2/m (12)
- Theoretical density: 11.5 Mg/m³

Model x:
CaHg6Pb2 after structural relaxation, computed with PBE-GGA.

Lattice parameters (Å, degrees): 5.533 5.901 8.825 70.47 81.53 63.87
Fractional positions:
Hg (0.161, 0.502, 0.828)
Ca (0.000, 0.000, 0.500)
Hg (0.331, 0.348, 0.500)
Pb (0.500, 0.832, 0.837)
Hg (0.669, 0.652, 0.500)
Hg (0.161, 0.830, 0.172)
Hg (0.839, 0.498, 0.172)
Hg (0.839, 0.170, 0.828)
Pb (0.500, 0.168, 0.163)

Values from the calculation:
- Space group: C2/m (12)
- Theoretical density: 11.3 Mg/m³

Relative calculated energies, zero for the most stable structure, unit eV/atom: model w 0.000; model x 0.009.

Model w:
Ca2Hg8Pb after structural relaxation, computed with PBE-GGA.

Lattice parameters (Å, degrees): 4.888 7.406 8.901 108.97 105.94 90.00
Fractional positions:
Hg (0.395, 0.556, 0.789)
Hg (0.032, 0.719, 0.063)
Pb (0.500, 0.000, 0.000)
Hg (0.150, 0.192, 0.299)
Hg (0.665, 0.891, 0.329)
Hg (0.335, 0.109, 0.671)
Hg (0.968, 0.281, 0.937)
Hg (0.605, 0.444, 0.211)
Hg (0.850, 0.808, 0.701)
Ca (0.781, 0.326, 0.562)
Ca (0.219, 0.674, 0.438)

Values from the calculation:
- Space group: C2/m (12)
- Theoretical density: 10.8 Mg/m³

Model x:
Ca2Hg8Pb after structural relaxation, computed with PBE-GGA.

Lattice parameters (Å, degrees): 7.517 6.101 7.637 113.54 72.93 90.00
Fractional positions:
Hg (0.590, 0.344, 0.175)
Ca (0.766, 0.249, 0.497)
Hg (0.217, 0.159, 0.319)
Hg (0.783, 0.841, 0.681)
Hg (0.410, 0.656, 0.825)
Hg (0.410, 0.169, 0.825)
Hg (0.033, 0.388, 0.775)
Pb (0.000, 0.000, 0.000)
Hg (0.590, 0.831, 0.175)
Ca (0.234, 0.751, 0.503)
Hg (0.967, 0.612, 0.225)

Values from the calculation:
- Space group: C2/m (12)
- Theoretical density: 10.3 Mg/m³

Relative calculated energies, zero for the most stable structure, unit eV/atom: model w 0.000; model x 0.020.

Model w:
CaHgPb3 after structural relaxation, computed with PBE-GGA.

Lattice parameters (Å, degrees): 7.749 7.749 7.749 102.67 99.62 127.85
Fractional positions:
Pb (0.531, 0.725, 0.694)
Hg (0.033, 0.533, 0.999)
Pb (0.066, 0.282, 0.285)
Hg (0.534, 0.033, 0.001)
Pb (0.531, 0.337, 0.306)
Ca (0.512, 0.281, 0.731)
Pb (0.031, 0.225, 0.694)
Pb (0.997, 0.782, 0.715)
Ca (0.550, 0.781, 0.269)
Pb (0.031, 0.837, 0.306)

Values from the calculation:
- Space group: Ima2 (46)
- Theoretical density: 8.7 Mg/m³

Model x:
CaHgPb3 after structural relaxation, computed with PBE-GGA.

Lattice parameters (Å, degrees): 4.815 7.715 9.402 113.40 104.84 90.00
Fractional positions:
Pb (0.902, 0.383, 0.804)
Pb (0.672, 0.945, 0.343)
Ca (0.553, 0.280, 0.106)
Hg (0.922, 0.995, 0.844)
Pb (0.760, 0.641, 0.521)
Pb (0.098, 0.617, 0.196)
Ca (0.447, 0.720, 0.894)
Pb (0.328, 0.055, 0.657)
Hg (0.078, 0.005, 0.156)
Pb (0.240, 0.359, 0.479)

Values from the calculation:
- Space group: C2/m (12)
- Theoretical density: 9.3 Mg/m³

Model y:
CaHgPb3 after structural relaxation, computed with PBE-GGA.

Lattice parameters (Å, degrees): 5.935 5.935 5.935 90.00 90.00 90.00
Fractional positions:
Ca (0.000, 0.000, 0.000)
Pb (0.000, 0.000, 0.500)
Hg (0.500, 0.500, 0.500)
Pb (0.500, 0.000, 0.000)
Pb (0.000, 0.500, 0.000)

Values from the calculation:
- Space group: Pm-3m (221)
- Theoretical density: 6.8 Mg/m³

Relative calculated energies, zero for the most stable structure, unit eV/atom: model w 0.073; model x 0.000; model y 0.691.

Model w:
CaHg2Pb3 after structural relaxation, computed with PBE-GGA.

Lattice parameters (Å, degrees): 6.101 6.101 10.697 100.80 100.80 112.90
Fractional positions:
Hg (0.962, 0.713, 0.918)
Pb (0.623, 0.377, 0.250)
Ca (0.126, 0.874, 0.250)
Pb (0.791, 0.540, 0.587)
Pb (0.377, 0.623, 0.750)
Hg (0.038, 0.287, 0.082)
Hg (0.287, 0.038, 0.582)
Ca (0.874, 0.126, 0.750)
Pb (0.460, 0.209, 0.913)
Pb (0.209, 0.460, 0.413)
Hg (0.713, 0.962, 0.418)
Pb (0.540, 0.791, 0.087)

Values from the calculation:
- Space group: C2/c (15)
- Theoretical density: 10.2 Mg/m³

Model x:
CaHg2Pb3 after structural relaxation, computed with PBE-GGA.

Lattice parameters (Å, degrees): 4.542 8.244 10.164 105.47 102.91 90.00
Fractional positions:
Hg (0.432, 0.870, 0.864)
Ca (0.819, 0.719, 0.638)
Hg (0.201, 0.671, 0.402)
Hg (0.568, 0.130, 0.136)
Pb (0.683, 0.945, 0.367)
Pb (0.317, 0.055, 0.633)
Ca (0.181, 0.281, 0.362)
Pb (0.584, 0.516, 0.168)
Hg (0.799, 0.329, 0.598)
Pb (0.040, 0.800, 0.081)
Pb (0.416, 0.484, 0.832)
Pb (0.960, 0.200, 0.919)

Values from the calculation:
- Space group: C2/m (12)
- Theoretical density: 9.9 Mg/m³

Relative calculated energies, zero for the most stable structure, unit eV/atom: model w 0.009; model x 0.000.

Model w:
Ca3HgPb after structural relaxation, computed with PBE-GGA.

Lattice parameters (Å, degrees): 5.783 5.783 5.783 90.00 90.00 90.00
Fractional positions:
Ca (0.000, 0.000, 0.500)
Pb (0.500, 0.500, 0.500)
Ca (0.000, 0.500, 0.000)
Ca (0.500, 0.000, 0.000)
Hg (0.000, 0.000, 0.000)

Values from the calculation:
- Space group: Pm-3m (221)
- Theoretical density: 4.5 Mg/m³

Model x:
Ca3HgPb after structural relaxation, computed with PBE-GGA.

Lattice parameters (Å, degrees): 3.863 10.043 10.046 62.39 89.99 89.99
Fractional positions:
Hg (0.362, 0.694, 0.246)
Ca (0.862, 0.782, 0.444)
Pb (0.863, 0.194, 0.247)
Hg (0.364, 0.194, 0.746)
Ca (0.863, 0.606, 0.049)
Pb (0.363, 0.694, 0.746)
Ca (0.363, 0.348, 0.400)
Ca (0.864, 0.392, 0.834)
Ca (0.864, 0.996, 0.659)
Ca (0.364, 0.041, 0.093)

Values from the calculation:
- Space group: P1 (1)
- Theoretical density: 5.1 Mg/m³

Relative calculated energies, zero for the most stable structure, unit eV/atom: model w 0.235; model x 0.000.

Model w:
Ca3HgPb after structural relaxation, computed with PBE-GGA.

Lattice parameters (Å, degrees): 5.438 5.445 11.002 90.00 75.69 90.00
Fractional positions:
Ca (0.255, 0.750, 0.139)
Ca (0.074, 0.750, 0.500)
Hg (0.477, 0.750, 0.694)
Hg (0.171, 0.250, 0.306)
Pb (0.666, 0.750, 0.317)
Pb (0.983, 0.250, 0.683)
Ca (0.574, 0.250, 0.500)
Ca (0.394, 0.250, 0.861)
Ca (0.755, 0.250, 0.139)
Ca (0.894, 0.750, 0.861)

Values from the calculation:
- Space group: Cmcm (63)
- Theoretical density: 5.6 Mg/m³

Model x:
Ca3HgPb after structural relaxation, computed with PBE-GGA.

Lattice parameters (Å, degrees): 6.014 6.014 6.014 90.00 90.00 90.00
Fractional positions:
Hg (0.500, 0.500, 0.500)
Pb (0.000, 0.000, 0.000)
Ca (0.500, 0.000, 0.000)
Ca (0.000, 0.500, 0.000)
Ca (0.000, 0.000, 0.500)

Values from the calculation:
- Space group: Pm-3m (221)
- Theoretical density: 4.0 Mg/m³

Relative calculated energies, zero for the most stable structure, unit eV/atom: model w 0.000; model x 0.383.

Model w:
CaHg5Pb2 after structural relaxation, computed with PBE-GGA.

Lattice parameters (Å, degrees): 4.840 4.840 9.806 104.29 104.29 90.00
Fractional positions:
Pb (0.243, 0.243, 0.487)
Hg (0.500, 0.500, 0.000)
Hg (0.119, 0.619, 0.238)
Pb (0.757, 0.757, 0.513)
Ca (0.000, 0.000, 0.000)
Hg (0.881, 0.381, 0.762)
Hg (0.381, 0.881, 0.762)
Hg (0.619, 0.119, 0.238)

Values from the calculation:
- Space group: I4/mmm (139)
- Theoretical density: 11.2 Mg/m³

Model x:
CaHg5Pb2 after structural relaxation, computed with PBE-GGA.

Lattice parameters (Å, degrees): 8.381 8.381 8.683 118.86 118.86 90.00
Fractional positions:
Hg (0.322, 0.822, 0.345)
Hg (0.678, 0.178, 0.655)
Hg (0.023, 0.523, 0.345)
Hg (0.523, 0.322, 0.345)
Ca (0.750, 0.750, 0.500)
Hg (0.178, 0.977, 0.655)
Hg (0.977, 0.477, 0.655)
Pb (0.647, 0.147, 0.000)
Hg (0.000, 0.000, 0.000)
Pb (0.353, 0.853, 0.000)
Pb (0.853, 0.647, 0.000)
Hg (0.500, 0.500, 0.000)
Pb (0.147, 0.353, 0.000)
Ca (0.250, 0.250, 0.500)
Hg (0.477, 0.678, 0.655)
Hg (0.822, 0.023, 0.345)

Values from the calculation:
- Space group: I4/mcm (140)
- Theoretical density: 10.9 Mg/m³

Relative calculated energies, zero for the most stable structure, unit eV/atom: model w 0.000; model x 0.063.

Model w:
Ca2Hg3Pb2 after structural relaxation, computed with PBE-GGA.

Lattice parameters (Å, degrees): 4.965 4.854 9.179 74.79 74.44 90.24
Fractional positions:
Pb (0.122, 0.622, 0.757)
Hg (0.252, 0.252, 0.494)
Hg (0.000, 0.000, 0.000)
Ca (0.376, 0.874, 0.249)
Hg (0.748, 0.748, 0.506)
Pb (0.878, 0.378, 0.243)
Ca (0.624, 0.126, 0.751)

Values from the calculation:
- Space group: P-1 (2)
- Theoretical density: 8.9 Mg/m³

Model x:
Ca2Hg3Pb2 after structural relaxation, computed with PBE-GGA.

Lattice parameters (Å, degrees): 8.142 8.142 8.142 109.47 109.47 109.47
Fractional positions:
Ca (0.500, 0.458, 0.500)
Ca (0.958, 0.500, 0.000)
Pb (0.000, 0.000, 0.854)
Pb (0.500, 0.854, 0.500)
Pb (0.146, 0.646, 0.646)
Hg (0.750, 0.525, 0.275)
Hg (0.775, 0.250, 0.525)
Ca (0.000, 0.000, 0.458)
Hg (0.250, 0.975, 0.225)
Hg (0.025, 0.275, 0.250)
Pb (0.354, 0.500, 0.000)
Hg (0.475, 0.225, 0.750)
Ca (0.542, 0.042, 0.042)
Hg (0.725, 0.750, 0.975)

Values from the calculation:
- Space group: I2_13 (199)
- Theoretical density: 8.8 Mg/m³

Relative calculated energies, zero for the most stable structure, unit eV/atom: model w 0.000; model x 0.068.

Model w:
CaHg3Pb2 after structural relaxation, computed with PBE-GGA.

Lattice parameters (Å, degrees): 5.222 8.327 8.010 90.00 90.00 71.73
Fractional positions:
Pb (0.000, 0.000, 0.000)
Hg (0.175, 0.650, 0.238)
Hg (0.500, 0.000, 0.743)
Ca (0.345, 0.311, 0.000)
Ca (0.655, 0.689, 0.000)
Hg (0.500, 0.000, 0.257)
Pb (0.335, 0.330, 0.500)
Hg (0.175, 0.650, 0.762)
Hg (0.825, 0.350, 0.238)
Pb (0.000, 0.000, 0.500)
Pb (0.665, 0.670, 0.500)
Hg (0.825, 0.350, 0.762)

Values from the calculation:
- Space group: Cmmm (65)
- Theoretical density: 10.6 Mg/m³

Model x:
CaHg3Pb2 after structural relaxation, computed with PBE-GGA.

Lattice parameters (Å, degrees): 6.384 6.173 10.252 84.76 79.83 58.86
Fractional positions:
Hg (0.732, 0.000, 0.757)
Ca (0.671, 0.657, 0.000)
Pb (0.834, 0.332, 0.500)
Pb (0.166, 0.668, 0.500)
Pb (0.500, 0.000, 0.500)
Ca (0.329, 0.343, 0.000)
Hg (0.083, 0.346, 0.754)
Pb (0.000, 0.000, 0.000)
Hg (0.571, 0.346, 0.246)
Hg (0.917, 0.654, 0.246)
Hg (0.429, 0.654, 0.754)
Hg (0.268, 0.000, 0.243)

Values from the calculation:
- Space group: C2/m (12)
- Theoretical density: 10.3 Mg/m³

Relative calculated energies, zero for the most stable structure, unit eV/atom: model w 0.000; model x 0.055.